# Rb2YB2

Rb2YB2 at its PBEsol-relaxed geometry (meta-GGA SCAN, the Alexandria database).

space group: P4/mbm (127)
crystal system: tetragonal
energy: -16.152 eV per atom
relative energy among the computed polymorphs: 0 meV per atom
E_form: 0.68 eV/atom

abc: 5.712 6.624 6.624
angles: 90.00 90.00 90.00
Positions (direct):
Rb: 0.500 0.180 0.680
Rb: 0.500 0.680 0.820
Rb: 0.500 0.320 0.180
Rb: 0.500 0.820 0.320
Y: 0.000 0.500 0.500
Y: 0.000 0.000 0.000
B: 0.000 0.084 0.416
B: 0.000 0.584 0.084
B: 0.000 0.916 0.584
B: 0.000 0.416 0.916


# LiMn2Te

LiMn2Te at its PBEsol-relaxed geometry (meta-GGA SCAN, the Alexandria database).

space group: P4/mmm (123)
crystal system: tetragonal
energy: -19.184 eV per atom

abc: 3.794 3.794 4.019
angles: 90.00 90.00 90.00
Positions (direct):
Te: 0.500 0.500 0.500
Mn: 0.500 0.000 0.000
Mn: 0.000 0.500 0.000
Li: 0.000 0.000 0.500


# AlZnTc2

AlZnTc2 at its PBEsol-relaxed geometry (meta-GGA SCAN, the Alexandria database).

space group: Pmmm (47)
crystal system: orthorhombic
energy: -22.841 eV per atom
relative energy among the computed polymorphs: 304 meV per atom
E_form: 0.01 eV/atom

abc: 2.735 3.977 5.135
angles: 90.00 90.00 90.00
Positions (direct):
Tc: 0.000 0.000 0.241
Tc: 0.000 0.000 0.759
Zn: 0.500 0.500 0.000
Al: 0.500 0.500 0.500


# Hg6Sb5Br7

Hg6Sb5Br7 at its PBEsol-relaxed geometry (meta-GGA SCAN, the Alexandria database).

space group: Pa-3 (205)
crystal system: cubic
energy: -41.032 eV per atom

abc: 13.019 13.019 13.019
angles: 90.00 90.00 90.00
Positions (direct):
Br: 0.705 0.455 0.551
Br: 0.295 0.545 0.449
Br: 0.955 0.949 0.295
Br: 0.449 0.295 0.545
Br: 0.449 0.205 0.045
Br: 0.051 0.705 0.045
Br: 0.045 0.449 0.205
Br: 0.551 0.795 0.955
Br: 0.545 0.449 0.295
Br: 0.795 0.545 0.051
Br: 0.500 0.000 0.500
Br: 0.045 0.051 0.705
Br: 0.500 0.500 0.000
Br: 0.295 0.955 0.949
Br: 0.705 0.045 0.051
Br: 0.455 0.949 0.205
Br: 0.000 0.500 0.500
Br: 0.000 0.000 0.000
Br: 0.545 0.051 0.795
Br: 0.795 0.955 0.551
Br: 0.551 0.705 0.455
Br: 0.949 0.205 0.455
Br: 0.455 0.551 0.705
Br: 0.955 0.551 0.795
Br: 0.051 0.795 0.545
Br: 0.205 0.455 0.949
Br: 0.949 0.295 0.955
Br: 0.205 0.045 0.449
Hg: 0.053 0.820 0.795
Hg: 0.180 0.205 0.947
Hg: 0.820 0.795 0.053
Hg: 0.447 0.180 0.295
Hg: 0.320 0.795 0.447
Hg: 0.447 0.320 0.795
Hg: 0.705 0.947 0.320
Hg: 0.320 0.705 0.947
Hg: 0.553 0.820 0.705
Hg: 0.205 0.553 0.680
Hg: 0.295 0.447 0.180
Hg: 0.820 0.705 0.553
Hg: 0.205 0.947 0.180
Hg: 0.947 0.320 0.705
Hg: 0.295 0.053 0.680
Hg: 0.795 0.053 0.820
Hg: 0.553 0.680 0.205
Hg: 0.053 0.680 0.295
Hg: 0.680 0.295 0.053
Hg: 0.947 0.180 0.205
Hg: 0.795 0.447 0.320
Hg: 0.680 0.205 0.553
Hg: 0.180 0.295 0.447
Hg: 0.705 0.553 0.820
Sb: 0.000 0.000 0.500
Sb: 0.500 0.000 0.000
Sb: 0.135 0.135 0.135
Sb: 0.261 0.261 0.261
Sb: 0.239 0.739 0.761
Sb: 0.761 0.261 0.239
Sb: 0.635 0.135 0.365
Sb: 0.635 0.365 0.865
Sb: 0.761 0.239 0.739
Sb: 0.239 0.761 0.261
Sb: 0.261 0.239 0.761
Sb: 0.500 0.500 0.500
Sb: 0.135 0.365 0.635
Sb: 0.000 0.500 0.000
Sb: 0.365 0.635 0.135
Sb: 0.739 0.739 0.739
Sb: 0.865 0.865 0.865
Sb: 0.865 0.635 0.365
Sb: 0.365 0.865 0.635
Sb: 0.739 0.761 0.239


# SrLa2Si

SrLa2Si at its PBEsol-relaxed geometry (meta-GGA SCAN, the Alexandria database).

space group: P4/mmm (123)
crystal system: tetragonal
energy: -29.764 eV per atom

abc: 4.821 4.862 4.862
angles: 90.00 90.00 90.00
Positions (direct):
La: 0.000 0.500 0.000
La: 0.000 0.000 0.500
Sr: 0.500 0.000 0.000
Si: 0.500 0.500 0.500


# MnSbIr3

MnSbIr3 at its PBEsol-relaxed geometry (meta-GGA SCAN, the Alexandria database).

space group: Pm-3m (221)
crystal system: cubic
energy: -52.174 eV per atom

abc: 4.763 4.763 4.763
angles: 90.00 90.00 90.00
Positions (direct):
Mn: 0.500 0.500 0.500
Ir: 0.000 0.000 0.500
Ir: 0.000 0.500 0.000
Ir: 0.500 0.000 0.000
Sb: 0.000 0.000 0.000


# SrCaSb2I

SrCaSb2I at its PBEsol-relaxed geometry (meta-GGA SCAN, the Alexandria database).

space group: P4/mmm (123)
crystal system: tetragonal
energy: -28.543 eV per atom

abc: 5.711 6.004 6.004
angles: 90.00 90.00 90.00
Positions (direct):
I: 0.000 0.000 0.000
Ca: 0.500 0.500 0.500
Sr: 0.500 0.000 0.000
Sb: 0.000 0.000 0.500
Sb: 0.000 0.500 0.000


# Ag2TeCl

Ag2TeCl at its PBEsol-relaxed geometry (meta-GGA SCAN, the Alexandria database).

space group: Pm (6)
crystal system: monoclinic
energy: -27.224 eV per atom
relative energy among the computed polymorphs: 30 meV per atom

abc: 3.267 4.401 6.396
angles: 90.00 90.07 90.00
Positions (direct):
Ag: 0.628 0.500 0.199
Ag: 0.128 0.000 0.064
Te: 0.122 0.500 0.816
Cl: 0.622 0.000 0.421


# Y2BeIn

Y2BeIn at its PBEsol-relaxed geometry (meta-GGA SCAN, the Alexandria database).

space group: P4/mmm (123)
crystal system: tetragonal
energy: -23.677 eV per atom
relative energy among the computed polymorphs: 0 meV per atom
E_form: -0.32 eV/atom

abc: 3.487 3.487 7.307
angles: 90.00 90.00 90.00
Positions (direct):
Be: 0.500 0.500 0.000
Y: 0.000 0.000 0.221
Y: 0.000 0.000 0.779
In: 0.500 0.500 0.500


# LaAg2

LaAg2 at its PBEsol-relaxed geometry (meta-GGA SCAN, the Alexandria database).

space group: I4_1/amd (141)
crystal system: tetragonal
energy: -35.563 eV per atom
E_form: -0.28 eV/atom

abc: 4.107 4.107 9.244
angles: 102.84 102.84 90.00
Positions (direct):
La: 0.000 0.000 0.000
La: 0.250 0.750 0.500
Ag: 0.827 0.327 0.654
Ag: 0.423 0.423 0.846
Ag: 0.577 0.577 0.154
Ag: 0.673 0.173 0.346


# ZnSb2P

ZnSb2P at its PBEsol-relaxed geometry (meta-GGA SCAN, the Alexandria database).

space group: Imm2 (44)
crystal system: orthorhombic
energy: -24.244 eV per atom
relative energy among the computed polymorphs: 236 meV per atom

abc: 3.414 5.167 5.654
angles: 117.19 107.57 90.00
Positions (direct):
P: 0.227 0.727 0.454
Sb: 0.957 0.957 0.913
Sb: 0.780 0.280 0.560
Zn: 0.537 0.537 0.073


# InHg6Sb4Br7

InHg6Sb4Br7 at its PBEsol-relaxed geometry (meta-GGA SCAN, the Alexandria database).

space group: Pa-3 (205)
crystal system: cubic
energy: -40.885 eV per atom

abc: 12.984 12.984 12.984
angles: 90.00 90.00 90.00
Positions (direct):
Br: 0.302 0.458 0.048
Br: 0.452 0.698 0.958
Br: 0.958 0.048 0.198
Br: 0.548 0.302 0.042
Br: 0.198 0.958 0.048
Br: 0.802 0.042 0.952
Br: 0.500 0.500 0.500
Br: 0.048 0.302 0.458
Br: 0.958 0.452 0.698
Br: 0.042 0.548 0.302
Br: 0.542 0.952 0.698
Br: 0.542 0.548 0.198
Br: 0.500 0.000 0.000
Br: 0.698 0.958 0.452
Br: 0.000 0.500 0.000
Br: 0.698 0.542 0.952
Br: 0.048 0.198 0.958
Br: 0.198 0.542 0.548
Br: 0.952 0.698 0.542
Br: 0.042 0.952 0.802
Br: 0.452 0.802 0.458
Br: 0.952 0.802 0.042
Br: 0.802 0.458 0.452
Br: 0.302 0.042 0.548
Br: 0.458 0.452 0.802
Br: 0.548 0.198 0.542
Br: 0.000 0.000 0.500
Br: 0.458 0.048 0.302
Hg: 0.448 0.820 0.210
Hg: 0.290 0.552 0.320
Hg: 0.552 0.180 0.790
Hg: 0.710 0.052 0.180
Hg: 0.320 0.210 0.052
Hg: 0.320 0.290 0.552
Hg: 0.790 0.552 0.180
Hg: 0.948 0.820 0.290
Hg: 0.552 0.320 0.290
Hg: 0.790 0.948 0.680
Hg: 0.210 0.448 0.820
Hg: 0.052 0.180 0.710
Hg: 0.180 0.790 0.552
Hg: 0.448 0.680 0.710
Hg: 0.290 0.948 0.820
Hg: 0.180 0.710 0.052
Hg: 0.820 0.210 0.448
Hg: 0.948 0.680 0.790
Hg: 0.052 0.320 0.210
Hg: 0.710 0.448 0.680
Hg: 0.210 0.052 0.320
Hg: 0.680 0.710 0.448
Hg: 0.680 0.790 0.948
Hg: 0.820 0.290 0.948
In: 0.000 0.500 0.500
In: 0.000 0.000 0.000
In: 0.500 0.500 0.000
In: 0.500 0.000 0.500
Sb: 0.865 0.135 0.635
Sb: 0.239 0.261 0.739
Sb: 0.239 0.239 0.239
Sb: 0.865 0.365 0.135
Sb: 0.135 0.865 0.365
Sb: 0.739 0.239 0.261
Sb: 0.365 0.365 0.365
Sb: 0.635 0.635 0.635
Sb: 0.761 0.761 0.761
Sb: 0.135 0.635 0.865
Sb: 0.739 0.261 0.761
Sb: 0.365 0.135 0.865
Sb: 0.635 0.865 0.135
Sb: 0.761 0.739 0.261
Sb: 0.261 0.739 0.239
Sb: 0.261 0.761 0.739


# TePbS2N

TePbS2N at its PBEsol-relaxed geometry (meta-GGA SCAN, the Alexandria database).

space group: P4/mmm (123)
crystal system: tetragonal
energy: -27.801 eV per atom

abc: 3.963 5.134 5.134
angles: 90.00 90.00 90.00
Positions (direct):
S: 0.000 0.500 0.000
S: 0.000 0.000 0.500
Pb: 0.500 0.500 0.500
Te: 0.000 0.000 0.000
N: 0.500 0.000 0.000


# CoTc4Ag

CoTc4Ag at its PBEsol-relaxed geometry (meta-GGA SCAN, the Alexandria database).

space group: F-43m (216)
crystal system: cubic
energy: -30.835 eV per atom
E_form: 0.65 eV/atom

abc: 5.010 5.010 5.010
angles: 60.00 60.00 60.00
Positions (direct):
Tc: 0.375 0.875 0.375
Tc: 0.375 0.375 0.375
Tc: 0.875 0.375 0.375
Tc: 0.375 0.375 0.875
Co: 0.000 0.000 0.000
Ag: 0.750 0.750 0.750


# Mg2CdNi

Mg2CdNi at its PBEsol-relaxed geometry (meta-GGA SCAN, the Alexandria database).

space group: Imm2 (44)
crystal system: orthorhombic
energy: -14.245 eV per atom
E_form: -0.11 eV/atom

abc: 3.195 4.548 5.447
angles: 114.67 107.06 90.00
Positions (direct):
Cd: 0.221 0.721 0.442
Ni: 0.500 0.500 0.000
Mg: 0.783 0.283 0.565
Mg: 0.996 0.996 0.993


# TiOsBr3

TiOsBr3 at its PBEsol-relaxed geometry (meta-GGA SCAN, the Alexandria database).

space group: Pm-3m (221)
crystal system: cubic
energy: -28.595 eV per atom

abc: 4.957 4.957 4.957
angles: 90.00 90.00 90.00
Positions (direct):
Os: 0.000 0.000 0.000
Ti: 0.500 0.500 0.500
Br: 0.000 0.000 0.500
Br: 0.000 0.500 0.000
Br: 0.500 0.000 0.000


# Ba3PdS

Ba3PdS at its PBEsol-relaxed geometry (meta-GGA SCAN, the Alexandria database).

space group: Pm-3m (221)
crystal system: cubic
energy: -32.754 eV per atom

abc: 5.902 5.902 5.902
angles: 90.00 90.00 90.00
Positions (direct):
Pd: 0.000 0.000 0.000
Ba: 0.000 0.000 0.500
Ba: 0.000 0.500 0.000
Ba: 0.500 0.000 0.000
S: 0.500 0.500 0.500


# Be2GaOs2

Be2GaOs2 at its PBEsol-relaxed geometry (meta-GGA SCAN, the Alexandria database).

space group: P4/mbm (127)
crystal system: tetragonal
energy: -34.056 eV per atom
E_form: -0.29 eV/atom

abc: 3.035 6.044 6.044
angles: 90.00 90.00 90.00
Positions (direct):
Ga: 0.000 0.000 0.000
Ga: 0.000 0.500 0.500
Be: 0.000 0.378 0.878
Be: 0.000 0.622 0.122
Be: 0.000 0.122 0.378
Be: 0.000 0.878 0.622
Os: 0.500 0.828 0.328
Os: 0.500 0.172 0.672
Os: 0.500 0.328 0.172
Os: 0.500 0.672 0.828


# In2IrRu

In2IrRu at its PBEsol-relaxed geometry (meta-GGA SCAN, the Alexandria database).

space group: F-43m (216)
crystal system: cubic
energy: -42.777 eV per atom
E_form: 0.40 eV/atom

abc: 4.563 4.563 4.563
angles: 60.00 60.00 60.00
Positions (direct):
In: 0.000 0.000 0.000
In: 0.750 0.750 0.750
Ir: 0.500 0.500 0.500
Ru: 0.250 0.250 0.250


# Li4ReBr

Li4ReBr at its PBEsol-relaxed geometry (meta-GGA SCAN, the Alexandria database).

space group: F-43m (216)
crystal system: cubic
energy: -16.039 eV per atom

abc: 5.063 5.063 5.063
angles: 60.00 60.00 60.00
Positions (direct):
Li: 0.377 0.868 0.377
Li: 0.868 0.377 0.377
Li: 0.377 0.377 0.377
Li: 0.377 0.377 0.868
Br: 0.000 0.000 0.000
Re: 0.750 0.750 0.750


# ZrAs2Pt

ZrAs2Pt at its PBEsol-relaxed geometry (meta-GGA SCAN, the Alexandria database).

space group: Pmmm (47)
crystal system: orthorhombic
energy: -35.992 eV per atom
E_form: -0.67 eV/atom

abc: 3.300 3.831 5.733
angles: 90.00 89.96 90.00
Positions (direct):
As: 0.501 0.000 0.268
As: 0.499 0.000 0.732
Pt: 0.500 0.500 0.000
Zr: 0.000 0.500 0.500